The following is a DFT calculation (PBE-GGA) of a geometry-optimized TlSi2Ru structure.

Unit cell a=3.1783 b=3.1783 c=24.0035 alpha=90.00 beta=90.00 gamma=120.00
Closest atoms and distances in Å follow each position.
Space group R3m (No. 160, hexagonal axes)
Symmetry-distinct sites (fractional):
Tl 0.0000 0.0000 0.0000  3 Ru 2.93, 3 Si 3.03, 6 Tl 3.18
Si 0.0000 0.0000 0.2330  3 Si 2.55
Si 0.0000 0.0000 0.4928  3 Ru 2.40, 3 Si 2.55
Ru 0.0000 0.0000 0.7617  3 Si 2.40

Calculated values
* energy above the lowest structure with this stoichiometry: 296 meV/atom
* ΔE_f (raw): 0.28 eV/atom
* density of states at the Fermi level: 0.9851 states/eV/atom
* final energy: -5.342 eV/atom



The following is a DFT calculation (PBE-GGA) of a geometry-optimized TlSi2Ru structure.

Unit cell a=3.1450 b=3.1450 c=25.2370 alpha=90.00 beta=90.00 gamma=120.00
Closest atoms and distances in Å follow each position.
Space group R-3m (No. 166, hexagonal axes)
Symmetry-distinct sites (fractional):
Tl 0.0000 0.0000 0.0000  6 Si 3.12, 6 Tl 3.15
Si 0.0000 0.0000 0.2327  3 Ru 2.46
Ru 0.0000 0.0000 0.5000  6 Si 2.46

Calculated values
* energy above the lowest structure with this stoichiometry: 150 meV/atom
* ΔE_f (raw): 0.13 eV/atom
* density of states at the Fermi level: 0.6217 states/eV/atom
* final energy: -5.488 eV/atom



The following is a DFT calculation (PBE-GGA) of a geometry-optimized TlSi2Ru structure.

Unit cell a=2.9965 b=2.9965 c=8.0518 alpha=90.00 beta=90.00 gamma=90.00
Closest atoms and distances in Å follow each position.
Space group P4/mmm (No. 123)
Symmetry-distinct sites (fractional):
Tl 0.0000 0.0000 0.0000  4 Tl 3.00, 8 Si 3.35
Si 0.5000 0.5000 0.3224  4 Ru 2.56, 1 Si 2.86
Ru 0.0000 0.0000 0.5000  8 Si 2.56

Calculated values
* energy above the lowest structure with this stoichiometry: 29 meV/atom
* ΔE_f (raw): 0.01 eV/atom
* density of states at the Fermi level: 0.4897 states/eV/atom
* final energy: -5.609 eV/atom



The following is a DFT calculation (PBE-GGA) of a geometry-optimized TlSi2Ru structure.

Unit cell a=3.1875 b=5.3015 c=8.6160 alpha=90.00 beta=90.00 gamma=90.00
Closest atoms and distances in Å follow each position.
Space group Immm (No. 71)
Symmetry-distinct sites (fractional):
Tl 0.0000 0.0000 0.0000  8 Si 2.94-3.23, 4 Ru 3.09, 2 Tl 3.19
Si 0.0000 0.5000 0.2137  2 Ru 2.44
Ru 0.0000 0.0000 0.5000  4 Si 2.44

Calculated values
* energy above the lowest structure with this stoichiometry: 479 meV/atom
* ΔE_f (raw): 0.46 eV/atom
* density of states at the Fermi level: 0.5291 states/eV/atom
* final energy: -5.159 eV/atom



The following is a DFT calculation (PBE-GGA) of a geometry-optimized TlSi2Ru structure.

Unit cell a=4.0943 b=4.0943 c=7.9594 alpha=90.00 beta=90.00 gamma=90.00
Closest atoms and distances in Å follow each position.
Space group I-4m2 (No. 119)
Symmetry-distinct sites (fractional):
Tl 0.0000 0.0000 0.0000  4 Ru 2.85, 8 Si 2.85-2.90
Si 0.0000 0.0000 0.5000  4 Ru 2.85, 4 Si 2.85, 4 Tl 2.90
Si 0.0000 0.5000 0.2500  4 Tl 2.85, 4 Si 2.85, 4 Ru 2.90
Ru 0.0000 0.5000 0.7500  8 Si 2.85-2.90, 4 Tl 2.85

Calculated values
* energy above the lowest structure with this stoichiometry: 672 meV/atom
* ΔE_f (raw): 0.66 eV/atom
* density of states at the Fermi level: 0.8870 states/eV/atom
* final energy: -4.966 eV/atom



The following is a DFT calculation (PBE-GGA) of a geometry-optimized TlSi2Ru structure.

Unit cell a=4.5430 b=4.5430 c=3.2918 alpha=90.00 beta=90.00 gamma=90.00
Closest atoms and distances in Å follow each position.
Space group P4/mmm (No. 123)
Symmetry-distinct sites (fractional):
Tl 0.0000 0.0000 0.0000  8 Si 2.81
Si 0.0000 0.5000 0.5000  4 Tl 2.81, 4 Ru 2.81
Ru 0.5000 0.5000 0.0000  8 Si 2.81

Calculated values
* energy above the lowest structure with this stoichiometry: 696 meV/atom
* ΔE_f (raw): 0.68 eV/atom
* density of states at the Fermi level: 0.8900 states/eV/atom
* final energy: -4.942 eV/atom



Question: Among the records above, which one has the lowest final energy?
Answer: number 3



Question: Which of these has the lowest energy above the lowest structure with this stoichiometry?
Answer: number 3